Below is a relaxed Mg2Ga2SiRh5 crystal, with properties calculated at the PBE-GGA level.

a b c (Å): 3.083 9.968 9.968
angles (deg): 90.00 90.00 90.00
Fractional coordinates of all 20 atoms:
Rh  0.500  0.425  0.316
Rh  0.500  0.684  0.425
Rh  0.500  0.000  0.500
Rh  0.500  0.575  0.684
Rh  0.500  0.816  0.925
Rh  0.500  0.075  0.816
Rh  0.500  0.184  0.075
Rh  0.500  0.925  0.184
Rh  0.500  0.500  0.000
Rh  0.500  0.316  0.575
Ga  0.000  0.634  0.866
Ga  0.000  0.866  0.366
Ga  0.000  0.134  0.634
Ga  0.000  0.366  0.134
Si  0.000  0.000  0.000
Si  0.000  0.500  0.500
Mg  0.000  0.832  0.668
Mg  0.000  0.668  0.168
Mg  0.000  0.168  0.332
Mg  0.000  0.332  0.832

Calculated total energy   -5.7403 eV per atom
Raw formation energy   -598.0 meV per atom
SG   P4/mbm (127)